Entry 1:
Here is an optimized crystal structure of KNa2SnPd from Alexandria via LeMat-Bulk. Energies are from PBE.

Lattice parameters (Å, degrees): 5.603 5.603 5.141 90.00 90.00 90.00
Space group P4/mmm (No. 123)
Unique sites:
K (0.000, 0.000, 0.000) (multiplicity 1)
Na (0.000, 0.500, 0.500) (multiplicity 2)
Sn (0.500, 0.500, 0.000) (multiplicity 1)
Pd (0.500, 0.500, 0.500) (multiplicity 1)

Values from the calculation:
E = -2.78 eV per atom
V = 32.3 Å³ per atom



Entry 2:
Here is an optimized crystal structure of Tb2DyThP4 from Alexandria via LeMat-Bulk. Energies are from PBE.

Lattice parameters (Å, degrees): 7.015 4.061 7.018 90.00 109.47 90.00
Space group P2/m (No. 10)
Unique sites:
Tb (0.000, 0.000, 0.000) (multiplicity 1)
Tb (0.500, 0.500, 0.000) (multiplicity 1)
Dy (0.000, 0.500, 0.500) (multiplicity 1)
Th (0.500, 0.000, 0.500) (multiplicity 1)
P (0.246, 0.500, 0.247) (multiplicity 2)
P (0.248, 0.000, 0.751) (multiplicity 2)

Values from the calculation:
E = -6.98 eV per atom
V = 23.6 Å³ per atom



Entry 3:
Here is an optimized crystal structure of SmPd14Pb from Alexandria via LeMat-Bulk. Energies are from PBE.

Lattice parameters (Å, degrees): 5.774 5.774 7.950 90.00 90.00 90.00
Space group P4/mmm (No. 123)
Unique sites:
Sm (0.000, 0.000, 0.000) (multiplicity 1)
Pd (0.000, 0.000, 0.500) (multiplicity 1)
Pd (0.000, 0.500, 0.000) (multiplicity 2)
Pd (0.000, 0.500, 0.500) (multiplicity 2)
Pd (0.251, 0.251, 0.259) (multiplicity 8)
Pd (0.500, 0.500, 0.500) (multiplicity 1)
Pb (0.500, 0.500, 0.000) (multiplicity 1)

Values from the calculation:
E = -5.31 eV per atom
V = 16.6 Å³ per atom



Entry 4:
Here is an optimized crystal structure of TbPd6Au3 from Alexandria via LeMat-Bulk. Energies are from PBE.

Lattice parameters (Å, degrees): 9.460 5.374 7.908 90.00 115.82 90.00
Space group C2/m (No. 12)
Unique sites:
Tb (0.000, 0.000, 0.000) (multiplicity 2)
Pd (0.130, 0.000, 0.449) (multiplicity 4)
Pd (0.175, 0.246, 0.812) (multiplicity 8)
Au (0.000, 0.500, 0.500) (multiplicity 2)
Au (0.086, 0.500, 0.209) (multiplicity 4)

Values from the calculation:
E = -4.80 eV per atom
Excess energy over the best structure of this formula in the dataset = 95 meV/atom
V = 18.1 Å³ per atom



Entry 5:
Here is an optimized crystal structure of Sm2HoTm6Sc from Alexandria via LeMat-Bulk. Energies are from PBE.

Lattice parameters (Å, degrees): 8.904 14.687 9.451 90.00 98.64 90.00
Space group C2/c (No. 15)
Unique sites:
Sm (0.249, 0.051, 0.046) (multiplicity 8)
Ho (0.000, 0.019, 0.750) (multiplicity 4)
Tm (0.063, 0.191, 0.442) (multiplicity 8)
Tm (0.101, 0.395, 0.616) (multiplicity 8)
Tm (0.208, 0.221, 0.810) (multiplicity 8)
Sc (0.000, 0.410, 0.250) (multiplicity 4)

Values from the calculation:
E = -4.59 eV per atom
V = 30.5 Å³ per atom



Entry 6:
Here is an optimized crystal structure of TbBiS2O from Alexandria via LeMat-Bulk. Energies are from PBE.

Lattice parameters (Å, degrees): 3.935 3.935 14.213 90.00 90.00 90.00
Space group P4/nmm (No. 129, origin choice 2)
Unique sites:
Tb (0.250, 0.250, 0.080) (multiplicity 2)
Bi (0.250, 0.250, 0.638) (multiplicity 2)
S (0.250, 0.250, 0.395) (multiplicity 2)
S (0.250, 0.250, 0.817) (multiplicity 2)
O (0.250, 0.750, 0.000) (multiplicity 2)

Values from the calculation:
E = -6.07 eV per atom
Formation energy without anion corrections = -1.725 eV/atom
V = 22.0 Å³ per atom



Entry 7:
Here is an optimized crystal structure of Mg2Be2GaPd5 from Alexandria via LeMat-Bulk. Energies are from PBE.

Lattice parameters (Å, degrees): 9.468 9.468 3.198 90.00 90.00 90.00
Space group P4/mbm (No. 127)
Unique sites:
Mg (0.173, 0.327, 0.000) (multiplicity 4)
Be (0.125, 0.625, 0.000) (multiplicity 4)
Ga (0.000, 0.000, 0.000) (multiplicity 2)
Pd (0.000, 0.500, 0.500) (multiplicity 2)
Pd (0.073, 0.793, 0.500) (multiplicity 8)

Values from the calculation:
E = -4.62 eV per atom
V = 14.3 Å³ per atom



Entry 8:
Here is an optimized crystal structure of KCa2As from Alexandria via LeMat-Bulk. Energies are from PBE.

Lattice parameters (Å, degrees): 7.561 4.364 10.997 90.00 102.86 90.00
Space group C2/m (No. 12)
Unique sites:
K (0.000, 0.000, 0.000) (multiplicity 2)
Ca (0.211, 0.000, 0.638) (multiplicity 4)
As (0.000, 0.500, 0.500) (multiplicity 2)

Values from the calculation:
E = -3.06 eV per atom
V = 44.2 Å³ per atom



Entry 9:
Here is an optimized crystal structure of CsTlHgTe from Alexandria via LeMat-Bulk. Energies are from PBE.

Lattice parameters (Å, degrees): 8.615 8.615 8.615 90.00 90.00 90.00
Space group F-43m (No. 216)
Unique sites:
Cs (0.000, 0.000, 0.000) (multiplicity 4)
Tl (0.000, 0.000, 0.500) (multiplicity 4)
Hg (0.250, 0.250, 0.750) (multiplicity 4)
Te (0.250, 0.250, 0.250) (multiplicity 4)

Values from the calculation:
E = -2.12 eV per atom
Formation energy without anion corrections = -0.452 eV/atom
Excess energy over the best structure of this formula in the dataset = 13 meV/atom
V = 40.0 Å³ per atom



Entry 10:
Here is an optimized crystal structure of Ac2ZrF11 from Alexandria via LeMat-Bulk. Energies are from PBE.

Lattice parameters (Å, degrees): 9.014 10.630 11.085 90.00 90.00 90.00
Space group Ibam (No. 72)
Unique sites:
Ac (0.175, 0.193, 0.000) (multiplicity 8)
Zr (0.000, 0.500, 0.250) (multiplicity 4)
F (0.000, 0.000, 0.000) (multiplicity 4)
F (0.082, 0.342, 0.148) (multiplicity 16)
F (0.104, 0.177, 0.500) (multiplicity 8)
F (0.183, 0.433, 0.356) (multiplicity 16)

Values from the calculation:
E = -6.32 eV per atom
Formation energy without anion corrections = -3.651 eV/atom
V = 19.0 Å³ per atom